1.
PBE-GGA Mn2CoIr, optimized geometry; energy of formation = 0.9 eV/f.u.; total moment = 6.0 Bohr magnetons per cell
1.0
1.369 -2.197 0.000
1.369 2.197 0.000
0.000 0.000 8.405
Mn Co Ir
2 1 1
direct
0.000 0.000 0.000
0.500 0.500 0.240
0.000 0.000 0.476
0.500 0.500 0.743

---

2.
PBE-GGA LaRh2Br, optimized geometry; E_form (uncorrected) = -1.243 eV/f.u.; energy relative to the lowest polymorph listed for this composition = 170 meV/atom; total moment = 0.0 Bohr magnetons per cell
1.0
3.578 0.000 0.000
0.000 4.456 0.000
0.000 0.000 4.947
La Rh Br
1 2 1
direct
0.000 0.000 0.000
0.000 0.500 0.500
0.500 0.500 0.000
0.500 0.000 0.500

---

3.
PBE-GGA BaNdCu, optimized geometry; energy of formation = 0.0 eV/f.u.; energy relative to the lowest polymorph listed for this composition = 0 meV/atom; total moment = 0.0 Bohr magnetons per cell
1.0
2.711 -2.715 0.000
2.711 2.715 0.000
-0.068 0.000 13.483
Ba Nd Cu
2 2 2
direct
0.246 0.246 0.142
0.754 0.754 0.858
0.248 0.248 0.407
0.752 0.752 0.593
0.254 0.254 0.696
0.746 0.746 0.304

---

4.
PBE-GGA BaLaZn2Co, optimized geometry; energy of formation = -0.7 eV/f.u.; total moment = 0.0 Bohr magnetons per cell
1.0
5.071 0.000 0.000
0.000 5.071 0.000
0.000 0.000 4.878
Ba La Zn Co
1 1 2 1
direct
0.000 0.000 0.000
0.500 0.500 0.000
0.000 0.500 0.500
0.500 0.000 0.500
0.500 0.500 0.500

---

5.
PBE-GGA LiYTiNb2, optimized geometry; energy of formation = 3.6 eV/f.u.; total moment = 0.0 Bohr magnetons per cell
1.0
4.718 0.000 0.000
0.000 4.718 0.000
0.000 0.000 5.071
Li Y Ti Nb
1 1 1 2
direct
0.000 0.000 0.000
0.500 0.500 0.000
0.000 0.000 0.500
0.000 0.500 0.500
0.500 0.000 0.500

---

6.
PBE-GGA Li2Ac3La2Tl4, optimized geometry; energy of formation = -2.2 eV/f.u.; total moment = 0.0 Bohr magnetons per cell
1.0
5.206 0.000 0.000
-2.603 4.508 0.000
0.000 0.000 15.804
Li Ac La Tl
2 3 2 4
direct
0.333 0.667 0.129
0.667 0.333 0.871
0.000 0.000 0.000
0.000 0.000 0.245
0.000 0.000 0.755
0.333 0.667 0.568
0.667 0.333 0.432
0.333 0.667 0.351
0.333 0.667 0.879
0.667 0.333 0.121
0.667 0.333 0.649

---

7.
PBE-GGA Ac2Zn5Ir3, optimized geometry; energy of formation = -4.1 eV/f.u.; total moment = 0.0 Bohr magnetons per cell
1.0
-5.417 6.063 3.059
5.417 -6.063 3.059
5.417 6.063 -3.059
Ac Zn Ir
4 10 6
direct
0.124 0.239 0.362
0.376 0.739 0.115
0.624 0.261 0.885
0.876 0.761 0.638
0.009 0.750 0.259
0.125 0.875 0.000
0.250 0.750 0.500
0.375 0.375 0.751
0.491 0.750 0.741
0.509 0.250 0.259
0.625 0.625 0.249
0.750 0.250 0.500
0.875 0.125 0.000
0.991 0.250 0.741
0.125 0.640 0.766
0.250 0.250 0.000
0.375 0.140 0.515
0.625 0.860 0.485
0.750 0.750 0.000
0.875 0.360 0.234

---

8.
PBE-GGA RbInSn2Hg2, optimized geometry; energy of formation = -0.5 eV/f.u.; total moment = 0.0 Bohr magnetons per cell
1.0
5.031 0.000 0.000
-2.516 4.357 0.000
0.000 0.000 9.146
Rb In Sn Hg
1 1 2 2
direct
0.000 0.000 0.000
0.000 0.000 0.500
0.333 0.667 0.374
0.667 0.333 0.626
0.333 0.667 0.762
0.667 0.333 0.238

---

9.
PBE-GGA Na2BePbO, optimized geometry; E_form (uncorrected) = 3.388 eV/f.u.; total moment = 0.0 Bohr magnetons per cell
1.0
5.931 0.000 0.000
0.000 5.931 0.000
0.000 0.000 4.465
Na Be Pb O
2 1 1 1
direct
0.000 0.500 0.000
0.500 0.000 0.000
0.000 0.000 0.500
0.000 0.000 0.000
0.500 0.500 0.500

---

10.
PBE-GGA Ru4RhAu, optimized geometry; energy of formation = 3.7 eV/f.u.; total moment = 3.8 Bohr magnetons per cell
1.0
0.000 3.605 3.605
3.605 0.000 3.605
3.605 3.605 0.000
Ru Rh Au
4 1 1
direct
0.125 0.125 0.125
0.125 0.125 0.625
0.125 0.625 0.125
0.625 0.125 0.125
0.500 0.500 0.500
0.750 0.750 0.750

---

11.
PBE-GGA ReNi2As, optimized geometry; energy of formation = 0.7 eV/f.u.; total moment = 0.0 Bohr magnetons per cell
1.0
-1.448 2.106 4.232
1.448 -2.106 4.232
1.448 2.106 -4.232
Re Ni As
1 2 1
direct
0.000 0.000 0.000
0.269 0.769 0.500
0.731 0.231 0.500
0.500 0.500 0.000

---

12.
PBE-GGA Sr2EuCl, optimized geometry; E_form (uncorrected) = -3.307 eV/f.u.; total moment = 7.8 Bohr magnetons per cell
1.0
2.053 1.185 11.060
-2.053 1.185 11.060
0.000 -2.370 11.060
Sr Eu Cl
2 1 1
direct
0.234 0.234 0.234
0.766 0.766 0.766
0.000 0.000 0.000
0.500 0.500 0.500

---

- Among the records above, which one has the highest total moment?
  Sr2EuCl

---

What did the first record say?
PBE-GGA Mn2CoIr, optimized geometry; energy of formation = 0.9 eV/f.u.; total moment = 6.0 Bohr magnetons per cell
1.0
1.369 -2.197 0.000
1.369 2.197 0.000
0.000 0.000 8.405
Mn Co Ir
2 1 1
direct
0.000 0.000 0.000
0.500 0.500 0.240
0.000 0.000 0.476
0.500 0.500 0.743